(1)
A crystal of LiYCl2 relaxed with PBEsol, computed with meta-GGA SCAN.

a = 3.5138 Å, b = 3.5138 Å, c = 8.7517 Å
α = 78.42°, β = 78.42°, γ = 60.00°
Each line ends with the local moment (μB).
Element x y z (fractional)
Y (0.5000, 0.5000, 0.5000)  0.07
Li (0.0000, 0.0000, 0.0000)  -0.03
Cl (0.9063, 0.9063, 0.2810)  -0.01
Cl (0.0937, 0.0937, 0.7190)  -0.01

## Properties
- Symmetry: R-3m (166)
- ΔE to the lowest computed polymorph: 190 meV per atom
- VASP energy: -52.28 eV/cell
- Magnetization: 0.25 μB/f.u.
- Formation energy from raw total energies: -147.0 kJ per mole of atoms
- V: 22.76 Å³ per atom


(2)
A crystal of ZnIn2Co2 relaxed with PBEsol, computed with meta-GGA SCAN.

a = 3.9192 Å, b = 6.1938 Å, c = 6.1938 Å
α = 90.00°, β = 90.00°, γ = 90.00°
Element x y z (fractional)
Zn (0.0000, 0.0000, 0.0000)
Zn (0.0000, 0.5000, 0.5000)
Co (0.0000, 0.3639, 0.8639)
Co (0.0000, 0.8639, 0.6361)
Co (0.0000, 0.6361, 0.1361)
Co (0.0000, 0.1361, 0.3639)
In (0.5000, 0.1676, 0.6676)
In (0.5000, 0.6676, 0.8324)
In (0.5000, 0.8324, 0.3324)
In (0.5000, 0.3324, 0.1676)

## Properties
- Symmetry: P4/mbm (127)
- Formation energy: 181 meV/atom
- VASP energy: -227.98 eV/cell
- Magnetization: 0.00 μB/f.u.
- V: 15.04 Å³ per atom


(3)
A crystal of AlRuBr2 relaxed with PBEsol, computed with meta-GGA SCAN.

a = 3.3833 Å, b = 4.3462 Å, c = 7.2556 Å
α = 97.01°, β = 90.00°, γ = 112.91°
Element x y z (fractional)
Ru (0.4549, 0.9097, 0.6719)
Al (0.7288, 0.4577, 0.5795)
Br (0.9895, 0.9790, 0.9168)
Br (0.3268, 0.6536, 0.3318)

## Properties
- Symmetry: Cm (8)
- ΔE to the lowest computed polymorph: 0 meV per atom
- VASP energy: -82.10 eV/cell
- Magnetization: 0.00 μB/f.u.
- Formation energy from raw total energies: -14.6 kJ per mole of atoms
- V: 24.35 Å³ per atom